# P2Au2S PBE-GGA relaxed
# E above lowest polymorph (kcal/mol of atoms): 0.00
# Uncorrected formation energy (eV/atom): 0.503
# Crystal system: tetragonal
# Symmetry: I4/mmm (139)
# DOS at the Fermi energy (states/eV/atom): 0.69
data_P2Au2S
_symmetry_space_group_name_H-M 'P 1'
_symmetry_Int_Tables_number 1
_cell_length_a 7.939
_cell_length_b 7.939
_cell_length_c 7.939
_cell_angle_alpha 155.23
_cell_angle_beta 155.23
_cell_angle_gamma 35.32
loop_
_symmetry_equiv_pos_as_xyz
'x,y,z'
loop_
_atom_site_label
_atom_site_fract_x
_atom_site_fract_y
_atom_site_fract_z
_atom_site_occupancy
P1 0.250 0.750 0.500 1
P2 0.750 0.250 0.500 1
Au1 0.096 0.096 0.000 1
Au2 0.904 0.904 0.000 1
S1 0.500 0.500 0.000 1